Here is a relaxed Hf2ZrSc crystal from the Alexandria database. Energies are from PBE. Values from VASP.

Energy relative to the elements: 2.37 eV per formula unit
Calculated density: 8.75 Mg/m³

Cell and atoms, written as Quantum ESPRESSO input:
```
&SYSTEM
  ibrav = 0, nat = 8, ntyp = 3
/
ATOMIC_SPECIES
Hf 178.49 Hf.upf
Sc 44.96 Sc.upf
Zr 91.22 Zr.upf
CELL_PARAMETERS angstrom
-1.203 7.715 -0.852
-7.755 -1.229 -0.179
-4.598 3.557 2.501
ATOMIC_POSITIONS angstrom
Hf -6.150 1.102 0.405
Hf -11.270 8.346 0.975
Hf -2.868 5.540 0.072
Hf -6.825 5.097 1.489
Sc -8.416 2.786 0.904
Sc -4.479 3.243 -0.515
Zr -5.140 7.257 0.567
Zr 0.000 0.000 0.000
```